# Zn3Pt4Au PBE optimized geometry
data_Zn3Pt4Au
_chemical_formula_sum 'Zn6 Pt8 Au2'
_symmetry_space_group_name_H-M 'P 1'
_symmetry_Int_Tables_number 1
_cell_length_a 4.675
_cell_length_b 5.790
_cell_length_c 9.053
_cell_angle_alpha 90.00
_cell_angle_beta 90.00
_cell_angle_gamma 90.00
loop_
_symmetry_equiv_pos_as_xyz
'x,y,z'
loop_
_atom_site_label
_atom_site_fract_x
_atom_site_fract_y
_atom_site_fract_z
_atom_site_occupancy
Zn1 0.000 0.000 0.000 1
Zn2 0.000 0.000 0.500 1
Zn3 0.620 0.000 0.750 1
Zn4 0.380 0.000 0.250 1
Zn5 0.617 0.500 0.750 1
Zn6 0.383 0.500 0.250 1
Au1 0.000 0.500 0.000 1
Au2 0.000 0.500 0.500 1
Pt1 0.500 0.760 0.000 1
Pt2 0.500 0.760 0.500 1
Pt3 0.500 0.240 0.000 1
Pt4 0.500 0.240 0.500 1
Pt5 0.126 0.755 0.750 1
Pt6 0.874 0.755 0.250 1
Pt7 0.874 0.245 0.250 1
Pt8 0.126 0.245 0.750 1
# * space group: Pmma (51)
# * DFT total energy: -0.3148 Ry/atom
# * crystal system: orthorhombic